1.
Compound: Ba2Li3MgF12
Source: the Alexandria database
Functional: PBE
Structure: optimized geometry

Summary:
The calculation puts the formation energy from raw total energies at -2.712 eV/atom.

Lattice parameters (Å, degrees): 7.0835 7.0835 7.0835 59.33 59.33 59.33
Site moments in Bohr magnetons follow the coordinates.
Fractional positions:
F (0.3562, 0.3562, 0.8902)  0.31
Li (0.0000, 0.0000, 0.5000)  0.00
Ba (0.6275, 0.6275, 0.6275)  -0.01
Li (0.5000, 0.0000, 0.0000)  0.00
F (0.3443, 0.9084, 0.9084)  0.16
F (0.6438, 0.6438, 0.1098)  0.31
Ba (0.3725, 0.3725, 0.3725)  -0.01
Mg (0.0000, 0.0000, 0.0000)  0.00
F (0.0916, 0.0916, 0.6557)  0.16
F (0.6557, 0.0916, 0.0916)  0.16
F (0.9084, 0.3443, 0.9084)  0.16
Li (0.0000, 0.5000, 0.0000)  0.00
F (0.6438, 0.1098, 0.6438)  0.31
F (0.3562, 0.8902, 0.3562)  0.31
F (0.9084, 0.9084, 0.3443)  0.16
F (0.1098, 0.6438, 0.6438)  0.31
F (0.0916, 0.6557, 0.0916)  0.16
F (0.8902, 0.3562, 0.3562)  0.31



2.
Compound: La3SbAs2Rh9
Source: the Alexandria database
Functional: PBE
Structure: optimized geometry

Summary:
The calculation puts the formation energy from raw total energies at -0.504 eV/atom.

Lattice parameters (Å, degrees): 6.3148 6.3148 9.3118 90.00 90.00 120.00
Fractional positions:
Rh (0.1439, 0.2878, 0.2759)
As (0.6667, 0.3333, 0.8320)
Rh (0.7122, 0.8561, 0.2759)
La (0.3333, 0.6667, 0.7145)
Rh (0.5000, 0.0000, 0.0000)
Rh (0.8561, 0.1439, 0.7241)
Rh (0.2878, 0.1439, 0.7241)
Sb (0.0000, 0.0000, 0.5000)
Rh (0.5000, 0.5000, 0.0000)
La (0.0000, 0.0000, 0.0000)
As (0.3333, 0.6667, 0.1680)
La (0.6667, 0.3333, 0.2855)
Rh (0.8561, 0.7122, 0.7241)
Rh (0.1439, 0.8561, 0.2759)
Rh (0.0000, 0.5000, 0.0000)



3.
Compound: Ti4PbO
Source: the Alexandria database
Functional: PBE
Structure: optimized geometry

Summary:
The polymorph energy (0 for the lowest one) is 40 meV per atom. The calculation puts the formation energy from raw total energies at -0.841 eV/atom.

Lattice parameters (Å, degrees): 4.5401 5.8297 7.4947 90.00 107.63 90.00
Fractional positions:
O (0.3986, 0.2788, 0.7972)
Ti (0.1067, 0.7791, 0.2134)
Ti (0.8933, 0.2791, 0.7866)
Ti (0.6990, 0.0357, 0.3979)
Ti (0.3010, 0.5357, 0.6021)
Ti (0.5058, 0.5119, 0.0117)
O (0.6014, 0.7788, 0.2028)
Ti (0.4942, 0.0119, 0.9883)
Ti (0.7065, 0.5467, 0.4130)
Ti (0.2935, 0.0467, 0.5870)
Pb (0.8935, 0.7812, 0.7871)
Pb (0.1065, 0.2812, 0.2129)



4.
Compound: Ga2BBr
Source: the Alexandria database
Functional: PBE
Structure: optimized geometry

Summary:
The polymorph energy (0 for the lowest one) is 1055 meV per atom. The calculation puts the formation energy from raw total energies at 0.965 eV/atom.

Lattice parameters (Å, degrees): 4.7801 4.7801 4.7801 60.00 60.00 60.00
Fractional positions:
Br (0.5000, 0.5000, 0.5000)
Ga (0.2500, 0.2500, 0.2500)
Ga (0.7500, 0.7500, 0.7500)
B (0.0000, 0.0000, 0.0000)



5.
Compound: Cd2Cu2Ag
Source: the Alexandria database
Functional: PBE
Structure: optimized geometry

Summary:
Its formation energy is 0.116 eV per atom. The polymorph energy (0 for the lowest one) is 42 meV per atom.

Lattice parameters (Å, degrees): 3.4291 3.4291 8.1026 77.78 77.78 90.00
Fractional positions:
Ag (0.0000, 0.0000, 0.0000)
Cu (0.2500, 0.7500, 0.5000)
Cu (0.7500, 0.2500, 0.5000)
Cd (0.3912, 0.3912, 0.2177)
Cd (0.6088, 0.6088, 0.7823)



6.
Compound: YRuW2
Source: the Alexandria database
Functional: PBE
Structure: optimized geometry

Summary:
Its formation energy is 0.379 eV per atom. The polymorph energy (0 for the lowest one) is 206 meV per atom.

Lattice parameters (Å, degrees): 5.4329 5.4329 5.4329 145.74 126.05 65.48
Fractional positions:
Ru (0.7679, 0.2679, 0.5000)
Y (0.5040, 0.5040, 0.0000)
W (0.0012, 0.0012, 0.0000)
W (0.2270, 0.7270, 0.5000)